# 1
# SrRuAu4 | the Alexandria database | PBE | optimized geometry
# DOS at the Fermi energy	35.75	states/eV per cell
# formation enthalpy at 0 K	1.648	kcal/mol of atoms
data_SrRuAu4
_space_group_name_H-M_alt 'F -4 3 m'
_space_group_IT_number 216
_space_group_name_Hall 'F -4 2 3'
_cell_length_a 7.9170
_cell_length_b 7.9170
_cell_length_c 7.9170
_cell_angle_alpha 90.00
_cell_angle_beta 90.00
_cell_angle_gamma 90.00
loop_
_atom_site_label
_atom_site_fract_x
_atom_site_fract_y
_atom_site_fract_z
Sr1 0.0000 0.0000 0.0000
Ru1 0.2500 0.2500 0.2500
Au1 0.1244 0.1244 0.6244



# 2
# La2PrAs | the Alexandria database | PBE | optimized geometry
# DOS at the Fermi energy	16.67	states/eV per cell
# formation enthalpy at 0 K	-10.974	kcal/mol of atoms
data_La2PrAs
_space_group_name_H-M_alt 'R -3 m'
_space_group_IT_number 166
_space_group_name_Hall '-R 3 2"'
_cell_length_a 3.9916
_cell_length_b 3.9916
_cell_length_c 31.8392
_cell_angle_alpha 90.00
_cell_angle_beta 90.00
_cell_angle_gamma 120.00
loop_
_atom_site_label
_atom_site_fract_x
_atom_site_fract_y
_atom_site_fract_z
La1 0.0000 0.0000 0.1099
Pr1 0.0000 0.0000 0.0000
As1 0.0000 0.0000 0.5000